Tm3Zr4: optimized geometry, PBE.

Structure (POSCAR):
```
Tm3Zr4
1.0
8.890 0.000 0.000
-4.445 7.699 0.000
0.000 0.000 5.284
Tm Zr
6 8
direct
0.053 0.251 0.250
0.199 0.947 0.250
0.251 0.199 0.750
0.749 0.801 0.250
0.801 0.053 0.750
0.947 0.749 0.750
0.104 0.493 0.750
0.333 0.667 0.250
0.389 0.896 0.750
0.493 0.389 0.250
0.507 0.611 0.750
0.611 0.104 0.250
0.667 0.333 0.750
0.896 0.507 0.250
```

Computed properties:
Volume: 25.8 Å³ per atom
E_form: 0.032 eV/atom
E: -94.77 eV per cell
Space-group type: P6_3/m
Total magnetic moment: 0.0 μB/f.u.